a | This record from Alexandria via LeMat-Bulk describes a relaxed structure of LaPd2F. The functional is GGA-PBE.

```
16
Lattice="6.750 0.000 0.000 0.000 6.750 0.000 0.000 0.000 6.750" Properties=species:S:1:pos:R:3 pbc="T T T"
La 0.000 0.000 0.000
La 0.000 3.375 3.375
La 3.375 0.000 3.375
La 3.375 3.375 0.000
Pd 1.687 1.687 1.687
Pd 1.687 1.687 5.062
Pd 1.687 5.062 1.687
Pd 1.687 5.062 5.062
Pd 5.062 1.687 1.687
Pd 5.062 1.687 5.062
Pd 5.062 5.062 1.687
Pd 5.062 5.062 5.062
F 0.000 0.000 3.375
F 0.000 3.375 0.000
F 3.375 0.000 0.000
F 3.375 3.375 3.375
```

Values from the calculation:
SG: No. 225
Magnetic moment in μB/cell: 0.00

b | This record from Alexandria via LeMat-Bulk describes a relaxed structure of LaPd2F. The functional is GGA-PBE.

```
16
Lattice="5.833 0.000 0.000 0.000 5.833 0.000 0.000 0.000 11.361" Properties=species:S:1:pos:R:3 pbc="T T T"
La 0.000 0.000 0.000
La 0.000 2.916 2.840
La 2.916 0.000 8.521
La 2.916 2.916 5.680
Pd 1.097 1.458 7.101
Pd 1.458 4.013 9.941
Pd 1.458 4.736 4.260
Pd 1.820 1.458 1.420
Pd 4.013 4.374 1.420
Pd 4.374 1.097 4.260
Pd 4.374 1.820 9.941
Pd 4.736 4.374 7.101
F 0.000 0.000 5.680
F 0.000 2.916 8.521
F 2.916 0.000 2.840
F 2.916 2.916 0.000
```

Values from the calculation:
SG: No. 122
Magnetic moment in μB/cell: 0.00

Name the most stable of them. a.

a | This record from Alexandria via LeMat-Bulk describes a relaxed structure of LaPt2F. The functional is GGA-PBE.

```
16
Lattice="6.779 0.000 0.000 0.000 6.779 0.000 0.000 0.000 6.779" Properties=species:S:1:pos:R:3 pbc="T T T"
La 0.000 0.000 0.000
La 0.000 3.389 3.389
La 3.389 0.000 3.389
La 3.389 3.389 0.000
Pt 1.695 1.695 1.695
Pt 1.695 1.695 5.084
Pt 1.695 5.084 1.695
Pt 1.695 5.084 5.084
Pt 5.084 1.695 1.695
Pt 5.084 1.695 5.084
Pt 5.084 5.084 1.695
Pt 5.084 5.084 5.084
F 0.000 0.000 3.389
F 0.000 3.389 0.000
F 3.389 0.000 0.000
F 3.389 3.389 3.389
```

Values from the calculation:
SG: No. 225
Magnetic moment in μB/cell: 0.00

b | This record from Alexandria via LeMat-Bulk describes a relaxed structure of LaPt2F. The functional is GGA-PBE.

```
16
Lattice="3.738 0.000 0.000 0.000 3.738 0.000 0.000 0.000 21.680" Properties=species:S:1:pos:R:3 pbc="T T T"
La 0.000 0.000 0.000
La 0.000 1.869 5.420
La 1.869 0.000 16.260
La 1.869 1.869 10.840
Pt 0.921 0.935 13.550
Pt 0.935 2.791 18.970
Pt 0.935 2.817 8.130
Pt 0.948 0.935 2.710
Pt 2.791 2.804 2.710
Pt 2.804 0.921 8.130
Pt 2.804 0.948 18.970
Pt 2.817 2.804 13.550
F 0.000 0.000 10.840
F 0.000 1.869 16.260
F 1.869 0.000 5.420
F 1.869 1.869 0.000
```

Values from the calculation:
SG: No. 122
Magnetic moment in μB/cell: 0.00

Name the most stable of them. b.

a | This record from Alexandria via LeMat-Bulk describes a relaxed structure of RbLaF2. The functional is GGA-PBE.

```
16
Lattice="6.541 0.000 0.000 0.000 6.541 0.000 0.000 0.000 12.856" Properties=species:S:1:pos:R:3 pbc="T T T"
Rb 0.000 0.000 0.000
Rb 0.000 3.270 3.214
Rb 3.270 0.000 9.642
Rb 3.270 3.270 6.428
La 0.000 0.000 6.428
La 0.000 3.270 9.642
La 3.270 0.000 3.214
La 3.270 3.270 0.000
F 0.513 1.635 8.035
F 1.635 3.783 11.249
F 1.635 6.028 4.821
F 2.758 1.635 1.607
F 3.783 4.905 1.607
F 4.905 0.513 4.821
F 4.905 2.758 11.249
F 6.028 4.905 8.035
```

Values from the calculation:
SG: No. 122
Magnetic moment in μB/cell: 0.00

b | This record from Alexandria via LeMat-Bulk describes a relaxed structure of RbLaF2. The functional is GGA-PBE.

```
16
Lattice="6.892 0.000 0.000 0.000 6.892 0.000 0.000 0.000 6.892" Properties=species:S:1:pos:R:3 pbc="T T T"
Rb 0.000 0.000 0.000
Rb 0.000 3.446 3.446
Rb 3.446 0.000 3.446
Rb 3.446 3.446 0.000
La 0.000 0.000 3.446
La 0.000 3.446 0.000
La 3.446 0.000 0.000
La 3.446 3.446 3.446
F 1.723 1.723 1.723
F 1.723 1.723 5.169
F 1.723 5.169 1.723
F 1.723 5.169 5.169
F 5.169 1.723 1.723
F 5.169 1.723 5.169
F 5.169 5.169 1.723
F 5.169 5.169 5.169
```

Values from the calculation:
SG: No. 225
Magnetic moment in μB/cell: 7.72

c | This record from Alexandria via LeMat-Bulk describes a relaxed structure of RbLaF2. The functional is GGA-PBE.

```
12
Lattice="4.225 0.000 0.000 -2.113 3.659 0.000 0.000 0.000 23.192" Properties=species:S:1:pos:R:3 pbc="T T T"
Rb 0.000 0.000 0.000
Rb 0.000 2.439 15.462
Rb 2.113 1.220 7.731
La 0.000 0.000 11.596
La 0.000 2.439 3.865
La 2.113 1.220 19.327
F 0.000 0.000 3.383
F 0.000 0.000 19.809
F 0.000 2.439 12.079
F 0.000 2.439 18.845
F 2.113 1.220 4.348
F 2.113 1.220 11.114
```

Values from the calculation:
SG: No. 166
Magnetic moment in μB/cell: 0.40

Name the most stable of them. c.

a | This record from Alexandria via LeMat-Bulk describes a relaxed structure of LaReF. The functional is GGA-PBE.

```
6
Lattice="3.280 0.000 0.000 0.000 3.280 0.000 0.000 0.000 9.995" Properties=species:S:1:pos:R:3 pbc="T T T"
La 0.820 0.820 1.999
La 2.460 2.460 7.995
Re 0.820 0.820 5.572
Re 2.460 2.460 4.422
F 0.820 0.820 9.246
F 2.460 2.460 0.749
```

Values from the calculation:
SG: No. 129
Magnetic moment in μB/cell: 0.00

b | This record from Alexandria via LeMat-Bulk describes a relaxed structure of LaReF. The functional is GGA-PBE.

```
12
Lattice="10.915 0.000 0.000 0.000 4.106 0.000 -3.725 0.000 5.738" Properties=species:S:1:pos:R:3 pbc="T T T"
La 0.000 0.000 0.000
La -1.366 2.053 3.170
La 5.458 2.053 0.000
La 4.092 0.000 3.170
Re 2.227 2.053 0.842
Re 3.238 0.000 0.194
Re 7.684 0.000 0.842
Re 8.696 2.053 0.194
F -0.184 0.000 2.519
F 2.325 2.053 3.214
F 5.274 2.053 2.519
F 7.782 0.000 3.214
```

Values from the calculation:
SG: No. 8
Magnetic moment in μB/cell: 0.00

Name the most stable of them. a.

a | This record from Alexandria via LeMat-Bulk describes a relaxed structure of La2ReF. The functional is GGA-PBE.

```
16
Lattice="5.687 0.000 0.000 0.000 5.687 0.000 0.000 0.000 13.495" Properties=species:S:1:pos:R:3 pbc="T T T"
La 1.367 1.422 1.687
La 1.422 4.211 5.061
La 1.422 4.320 11.808
La 1.477 1.422 8.434
La 4.211 4.265 8.434
La 4.265 1.367 11.808
La 4.265 1.477 5.061
La 4.320 4.265 1.687
Re 0.000 0.000 6.747
Re 0.000 2.844 10.121
Re 2.844 0.000 3.374
Re 2.844 2.844 0.000
F 0.000 0.000 0.000
F 0.000 2.844 3.374
F 2.844 0.000 10.121
F 2.844 2.844 6.747
```

Values from the calculation:
SG: No. 122
Magnetic moment in μB/cell: 0.00

b | This record from Alexandria via LeMat-Bulk describes a relaxed structure of La2ReF. The functional is GGA-PBE.

```
16
Lattice="7.014 0.000 0.000 0.000 7.014 0.000 0.000 0.000 7.014" Properties=species:S:1:pos:R:3 pbc="T T T"
La 1.753 1.753 1.753
La 1.753 1.753 5.260
La 1.753 5.260 1.753
La 1.753 5.260 5.260
La 5.260 1.753 1.753
La 5.260 1.753 5.260
La 5.260 5.260 1.753
La 5.260 5.260 5.260
Re 0.000 0.000 0.000
Re 0.000 3.507 3.507
Re 3.507 0.000 3.507
Re 3.507 3.507 0.000
F 0.000 0.000 3.507
F 0.000 3.507 0.000
F 3.507 0.000 0.000
F 3.507 3.507 3.507
```

Values from the calculation:
SG: No. 225
Magnetic moment in μB/cell: 0.00

Name the most stable of them. a.

a | This record from Alexandria via LeMat-Bulk describes a relaxed structure of LaRhF2. The functional is GGA-PBE.

```
16
Lattice="4.072 0.000 0.000 0.000 4.072 0.000 0.000 0.000 16.207" Properties=species:S:1:pos:R:3 pbc="T T T"
La 0.000 0.000 0.000
La 0.000 2.036 4.052
La 2.036 0.000 12.155
La 2.036 2.036 8.104
Rh 0.000 0.000 8.104
Rh 0.000 2.036 12.155
Rh 2.036 0.000 4.052
Rh 2.036 2.036 0.000
F 1.014 1.018 2.026
F 1.018 3.050 6.078
F 1.018 3.058 14.181
F 1.022 1.018 10.130
F 3.050 3.054 10.130
F 3.054 1.014 14.181
F 3.054 1.022 6.078
F 3.058 3.054 2.026
```

Values from the calculation:
SG: No. 122
Magnetic moment in μB/cell: 0.00

b | This record from Alexandria via LeMat-Bulk describes a relaxed structure of LaRhF2. The functional is GGA-PBE.

```
16
Lattice="6.215 0.000 0.000 0.000 6.215 0.000 0.000 0.000 6.215" Properties=species:S:1:pos:R:3 pbc="T T T"
La 0.000 0.000 0.000
La 0.000 3.108 3.108
La 3.108 0.000 3.108
La 3.108 3.108 0.000
Rh 0.000 0.000 3.108
Rh 0.000 3.108 0.000
Rh 3.108 0.000 0.000
Rh 3.108 3.108 3.108
F 1.554 1.554 1.554
F 1.554 1.554 4.661
F 1.554 4.661 1.554
F 1.554 4.661 4.661
F 4.661 1.554 1.554
F 4.661 1.554 4.661
F 4.661 4.661 1.554
F 4.661 4.661 4.661
```

Values from the calculation:
SG: No. 225
Magnetic moment in μB/cell: 0.03

Name the most stable of them. a.